[1]
## NaTa3N5 (GGA-PBE)

Data for a geometry-optimized NaTa3N5 structure.

Computed properties:
Its space group is Cmcm, No. 63. Its calculated density is 9.782 g/cm3. The formation energy without anion corrections comes out at -966.7 meV/atom. The total moment comes out at 0.000 μB per formula unit.

Cell lengths 5.5084, 5.5084, 10.4258 Å; angles 90.00, 90.00, 136.97 degrees
With the nearest neighbours (Å) after each atom.
Positions (direct):
Na: 0.0057 0.9943 0.7500  7 N 2.48-2.60
Na: 0.9943 0.0057 0.2500  7 N 2.48-2.60
Ta: 0.2981 0.7019 0.7500  6 N 2.07-2.15
Ta: 0.3589 0.6411 0.0467  4 N 2.01-2.09
Ta: 0.3589 0.6411 0.4533  4 N 2.01-2.09
Ta: 0.6411 0.3589 0.5467  4 N 2.01-2.09
Ta: 0.6411 0.3589 0.9533  4 N 2.01-2.09
Ta: 0.7019 0.2981 0.2500  6 N 2.07-2.15
N: 0.1799 0.8201 0.5792  4 Ta 2.09-2.26
N: 0.1799 0.8201 0.9208  4 Ta 2.09-2.26
N: 0.2479 0.7521 0.2500  2 Ta 2.07
N: 0.4550 0.5450 0.6212  3 Ta 2.01-2.09
N: 0.4550 0.5450 0.8788  3 Ta 2.01-2.09
N: 0.5450 0.4550 0.1212  3 Ta 2.01-2.09
N: 0.5450 0.4550 0.3788  3 Ta 2.01-2.09
N: 0.7521 0.2479 0.7500  2 Ta 2.07
N: 0.8201 0.1799 0.0792  4 Ta 2.09-2.26
N: 0.8201 0.1799 0.4208  4 Ta 2.09-2.26


[2]
## InAg2Os (GGA-PBE)

Data for a geometry-optimized InAg2Os structure.

Computed properties:
Its space group is Cmmm, No. 65. Its calculated density is 11.942 g/cm3. For the formation energy, the calculation gives 2.33 eV/f.u. The total moment comes out at 0.653 μB per formula unit.

Cell lengths 2.8672, 2.8672, 10.0412 Å; angles 90.00, 90.00, 118.69 degrees
With the nearest neighbours (Å) after each atom.
Positions (direct):
In: 0.0000 0.0000 0.0000  6 In 2.87-2.92, 4 Ag 3.00
Ag: 0.5000 0.5000 0.2606  2 Os 2.81, 6 Ag 2.87-2.92, 2 In 3.00
Ag: 0.5000 0.5000 0.7394  2 Os 2.81, 6 Ag 2.87-2.92, 2 In 3.00
Os: 0.0000 0.0000 0.5000  4 Ag 2.81, 6 Os 2.87-2.92


[3]
## TlReN2F (GGA-PBE)

Data for a geometry-optimized TlReN2F structure.

Computed properties:
Its space group is P4/mmm, No. 123. Its calculated density is 6.566 g/cm3. The relative energy among the computed polymorphs comes out at 13.22 eV per formula unit. The formation energy without anion corrections comes out at 2539.3 meV/atom. The total moment comes out at 7.796 μB per formula unit.

Cell lengths 4.2116, 4.2116, 6.2389 Å; angles 90.00, 90.00, 90.00 degrees
With the nearest neighbours (Å) after each atom.
Positions (direct):
Tl: 0.0000 0.0000 0.0000  4 N 2.11
Re: 0.0000 0.0000 0.5000  4 F 2.98, 2 Tl 3.12
N: 0.0000 0.5000 0.0000  2 Tl 2.11
N: 0.5000 0.0000 0.0000  2 Tl 2.11
F: 0.5000 0.5000 0.5000  4 Re 2.98